Entry 1:
Density functional theory data (PBE) for a geometry-optimized Hf4Al2CN structure.

* electronic total energy: -9.00 eV per atom
* total moment: 0.00 μB/atom
* space-group type: No. 164

Cell lengths 3.2342, 3.2342, 14.2853 Å; angles 90.00, 90.00, 120.00 degrees
With the nearest neighbours (Å) after each atom.
Positions (direct):
Hf  0.3333  0.6667  0.4121  3 N 2.25
Hf  0.6667  0.3333  0.9115  3 C 2.26
C  0.0000  0.0000  0.0000  6 Hf 2.26
Hf  0.3333  0.6667  0.0885  3 C 2.26
Al  0.3333  0.6667  0.7483  6 Hf 2.96-2.99, 6 Al 3.23
N  0.0000  0.0000  0.5000  6 Hf 2.25
Al  0.6667  0.3333  0.2517  6 Hf 2.96-2.99, 6 Al 3.23
Hf  0.6667  0.3333  0.5879  3 N 2.25

Entry 2:
Density functional theory data (PBE) for a geometry-optimized DyCdB structure.

* energy relative to the lowest polymorph listed for this composition: 72.3 kJ/mol of atoms
* electronic total energy: -3.38 eV per atom
* total moment: 0.00 μB/atom
* space-group type: No. 216

Cell lengths 4.4524, 4.4524, 4.4524 Å; angles 60.00, 60.00, 60.00 degrees
With the nearest neighbours (Å) after each atom.
Positions (direct):
Cd  0.0000  0.0000  0.0000  4 Dy 2.73, 4 B 2.73
Dy  0.7500  0.7500  0.7500  4 Cd 2.73
B  0.2500  0.2500  0.2500  4 Cd 2.73

Entry 3:
Density functional theory data (PBE) for a geometry-optimized Er3HfTl2C2 structure.

* electronic total energy: -6.30 eV per atom
* total moment: 0.00 μB/atom
* space-group type: No. 156

Cell lengths 3.5044, 3.5044, 15.7962 Å; angles 90.00, 90.00, 120.00 degrees
With the nearest neighbours (Å) after each atom.
Positions (direct):
Er  0.6667  0.3333  0.9186  3 C 2.51
Tl  0.3333  0.6667  0.7522  6 Er 3.32-3.36, 6 Tl 3.50
Er  0.3333  0.6667  0.4127  3 C 2.43
Er  0.6667  0.3333  0.5827  3 C 2.43
Hf  0.3333  0.6667  0.0801  3 C 2.29
C  0.0000  0.0000  0.0127  3 Hf 2.29, 3 Er 2.51
C  0.0000  0.0000  0.4980  6 Er 2.43
Tl  0.6667  0.3333  0.2429  3 Hf 3.27, 3 Er 3.36, 6 Tl 3.50

Entry 4:
Density functional theory data (PBE) for a geometry-optimized CsOsSeO structure.

* energy relative to the lowest polymorph listed for this composition: 94.2 kJ/mol of atoms
* electronic total energy: -4.68 eV per atom
* total moment: 0.31 μB/atom
* space-group type: No. 129

Cell lengths 4.3720, 4.3720, 10.4919 Å; angles 90.00, 90.00, 90.00 degrees
With the nearest neighbours (Å) after each atom.
Positions (direct):
Os  0.7500  0.7500  0.0352  4 O 2.22, 1 Se 2.33
O  0.2500  0.7500  0.0000  4 Os 2.22
O  0.7500  0.2500  0.0000  4 Os 2.22
Se  0.2500  0.2500  0.7425  1 Os 2.33
Cs  0.7500  0.2500  0.5000  4 Cs 3.09, 4 Se 3.35
Os  0.2500  0.2500  0.9648  4 O 2.22, 1 Se 2.33
Se  0.7500  0.7500  0.2575  1 Os 2.33
Cs  0.2500  0.7500  0.5000  4 Cs 3.09, 4 Se 3.35

Entry 5:
Density functional theory data (PBE) for a geometry-optimized LuBPt2 structure.

* electronic total energy: -6.84 eV per atom
* total moment: 0.00 μB/atom
* space-group type: No. 180

Cell lengths 5.2846, 5.2846, 7.9304 Å; angles 90.00, 90.00, 120.00 degrees
With the nearest neighbours (Å) after each atom.
Positions (direct):
Lu  0.5000  0.5000  0.3333  4 B 2.95, 10 Pt 2.98-3.19
B  0.5000  0.5000  0.8333  4 Pt 2.08
Pt  0.8487  0.6973  0.0000  2 B 2.08
Pt  0.1513  0.3027  0.0000  2 B 2.08
Pt  0.8487  0.1513  0.3333  2 B 2.08
Pt  0.1513  0.8487  0.3333  2 B 2.08
B  0.0000  0.5000  0.1667  4 Pt 2.08
Lu  0.0000  0.5000  0.6667  4 B 2.95, 10 Pt 2.98-3.19
Lu  0.5000  0.0000  0.0000  4 B 2.95, 10 Pt 2.98-3.19
Pt  0.3027  0.1513  0.6667  2 B 2.08
B  0.5000  0.0000  0.5000  4 Pt 2.08
Pt  0.6973  0.8487  0.6667  2 B 2.08

Entry 6:
Density functional theory data (PBE) for a geometry-optimized HoSiHO4 structure.

* energy relative to the lowest polymorph listed for this composition: 8.6 kJ/mol of atoms
* electronic total energy: -7.39 eV per atom
* total moment: 0.00 μB/atom
* space-group type: No. 148

Cell lengths 9.1839, 9.1839, 9.1839 Å; angles 112.57, 112.57, 112.58 degrees
With the nearest neighbours (Å) after each atom.
Positions (direct):
O  0.1559  0.7033  0.2056  1 Si 1.66
Ho  0.0663  0.5936  0.8579  5 O 2.14-2.35
Ho  0.1421  0.9337  0.4064  5 O 2.14-2.35
O  0.6196  0.2771  0.8928  1 Si 1.62
O  0.5527  0.8504  0.4914  1 Si 1.60, 1 H 1.69
Si  0.7367  0.6493  0.2978  4 O 1.60-1.70
O  0.8504  0.4914  0.5527  1 Si 1.60, 1 H 1.69
Si  0.2633  0.3507  0.7022  4 O 1.60-1.70
O  0.2056  0.1559  0.7033  1 Si 1.66
O  0.3804  0.7229  0.1072  1 Si 1.62
O  0.7229  0.1072  0.3804  1 Si 1.62
H  0.3249  0.4284  0.1635  1 O 1.01
O  0.5439  0.8347  0.7711  1 H 1.01
O  0.1072  0.3804  0.7229  1 Si 1.62
O  0.7033  0.2056  0.1559  1 Si 1.66
O  0.8347  0.7711  0.5439  1 H 1.01
O  0.7711  0.5439  0.8347  1 H 1.01
O  0.4914  0.5527  0.8504  1 Si 1.60, 1 H 1.69
Ho  0.8579  0.0663  0.5936  5 O 2.14-2.35
O  0.1496  0.5086  0.4473  1 Si 1.60, 1 H 1.69
Ho  0.9337  0.4064  0.1421  5 O 2.14-2.35
Si  0.3507  0.7022  0.2633  4 O 1.60-1.70
O  0.2967  0.7944  0.8441  1 Si 1.66
O  0.4473  0.1496  0.5086  1 Si 1.60, 1 H 1.69
Ho  0.5936  0.8579  0.0663  5 O 2.14-2.35
O  0.4561  0.1653  0.2289  1 H 1.01
Ho  0.4064  0.1421  0.9337  5 O 2.14-2.35
O  0.8441  0.2967  0.7944  1 Si 1.66
H  0.6751  0.5716  0.8365  1 O 1.01
H  0.1635  0.3249  0.4284  1 O 1.01
O  0.8928  0.6196  0.2771  1 Si 1.62
Si  0.7022  0.2633  0.3507  4 O 1.60-1.70
Si  0.2978  0.7367  0.6493  4 O 1.60-1.70
Si  0.6493  0.2978  0.7367  4 O 1.60-1.70
O  0.2289  0.4561  0.1653  1 H 1.01
H  0.5716  0.8365  0.6751  1 O 1.01
O  0.7944  0.8441  0.2967  1 Si 1.66
O  0.5086  0.4473  0.1496  1 Si 1.60, 1 H 1.69
O  0.2771  0.8928  0.6196  1 Si 1.62
O  0.1653  0.2289  0.4561  1 H 1.01
H  0.8365  0.6751  0.5716  1 O 1.01
H  0.4284  0.1635  0.3249  1 O 1.01

Entry 7:
Density functional theory data (PBE) for a geometry-optimized Nb2Co3Ir3 structure.

* ΔE_f: -0.357 eV per atom
* energy relative to the lowest polymorph listed for this composition: 2.0 kJ/mol of atoms
* electronic total energy: -8.87 eV per atom
* total moment: 0.11 μB/atom
* space-group type: No. 38

Cell lengths 4.3464, 5.3919, 5.3919 Å; angles 60.68, 90.00, 90.00 degrees
With the nearest neighbours (Å) after each atom.
Positions (direct):
Nb  0.5000  0.6633  0.6633  6 Ir 2.63-2.76, 6 Co 2.71-2.72
Ir  0.5000  0.6776  0.1687  4 Co 2.58-2.81, 4 Nb 2.63-2.76, 4 Ir 2.68-2.77
Co  0.0000  0.8470  0.3202  4 Co 2.58-2.87, 4 Nb 2.60-2.79, 4 Ir 2.64-2.75
Co  0.5000  0.1605  0.1605  4 Ir 2.58-2.81, 4 Co 2.63, 4 Nb 2.67-2.72
Ir  0.5000  0.1687  0.6776  4 Co 2.58-2.81, 4 Nb 2.63-2.76, 4 Ir 2.68-2.77
Nb  0.0000  0.3264  0.3264  6 Co 2.60-2.79, 6 Ir 2.73
Co  0.0000  0.3202  0.8470  4 Co 2.58-2.87, 4 Nb 2.60-2.79, 4 Ir 2.64-2.75
Ir  0.0000  0.8362  0.8362  4 Co 2.64-2.75, 4 Ir 2.68, 4 Nb 2.70-2.73

Entry 8:
Density functional theory data (PBE) for a geometry-optimized AcZn structure.

* ΔE_f: -0.201 eV per atom
* electronic total energy: -2.89 eV per atom
* total moment: 0.00 μB/atom
* space-group type: No. 62

Cell lengths 7.1155, 6.6468, 5.0042 Å; angles 90.00, 90.00, 90.00 degrees
With the nearest neighbours (Å) after each atom.
Positions (direct):
Zn  0.3600  0.4962  0.5000  2 Zn 3.08, 6 Ac 3.24-3.35
Zn  0.4733  0.2538  0.0000  2 Zn 3.08, 6 Ac 3.24-3.35
Ac  0.7627  0.2357  0.5000  7 Zn 3.24-3.51
Zn  0.9733  0.9962  0.0000  2 Zn 3.08, 6 Ac 3.24-3.35
Ac  0.5706  0.7357  0.0000  7 Zn 3.24-3.51
Ac  0.0706  0.5143  0.0000  7 Zn 3.24-3.51
Zn  0.8600  0.7538  0.5000  2 Zn 3.08, 6 Ac 3.24-3.35
Ac  0.2627  0.0143  0.5000  7 Zn 3.24-3.51